No. 1
Zn3SiAg: relaxed, PBE.

CIF file:
```
data_Zn3SiAg
_space_group_name_H-M_alt 'P m -3 m'
_space_group_IT_number 221
_space_group_name_Hall '-P 4 2 3'
_cell_length_a 4.8249
_cell_length_b 4.8249
_cell_length_c 4.8249
_cell_angle_alpha 90.00
_cell_angle_beta 90.00
_cell_angle_gamma 90.00
loop_
_atom_site_label
_atom_site_type_symbol
_atom_site_fract_x
_atom_site_fract_y
_atom_site_fract_z
Zn1 Zn 0.0000 0.0000 0.5000
Si1 Si 0.5000 0.5000 0.5000
Ag1 Ag 0.0000 0.0000 0.0000
```

* crystal system: cubic
* VASP energy: -1.686 eV/atom
* offset from the most stable computed form: 248 meV/atom


No. 2
Zr4SiAg: relaxed, PBE.

CIF file:
```
data_Zr4SiAg
_space_group_name_H-M_alt 'F -4 3 m'
_space_group_IT_number 216
_space_group_name_Hall 'F -4 2 3'
_cell_length_a 8.0019
_cell_length_b 8.0019
_cell_length_c 8.0019
_cell_angle_alpha 90.00
_cell_angle_beta 90.00
_cell_angle_gamma 90.00
loop_
_atom_site_label
_atom_site_type_symbol
_atom_site_fract_x
_atom_site_fract_y
_atom_site_fract_z
Zr1 Zr 0.1243 0.1243 0.3757
Si1 Si 0.2500 0.2500 0.7500
Ag1 Ag 0.0000 0.0000 0.0000
```

* crystal system: cubic
* VASP energy: -6.667 eV/atom


No. 3
Zr2SiAg: relaxed, PBE.

CIF file:
```
data_Zr2SiAg
_space_group_name_H-M_alt 'P m m 2'
_space_group_IT_number 25
_space_group_name_Hall 'P 2 -2'
_cell_length_a 2.9646
_cell_length_b 5.0692
_cell_length_c 5.0693
_cell_angle_alpha 90.00
_cell_angle_beta 90.00
_cell_angle_gamma 90.00
loop_
_atom_site_label
_atom_site_type_symbol
_atom_site_fract_x
_atom_site_fract_y
_atom_site_fract_z
Zr1 Zr 0.0000 0.0000 0.0000
Zr2 Zr 0.0000 0.5000 0.4990
Si1 Si 0.5000 0.5000 0.9990
Ag1 Ag 0.5000 0.0000 0.5002
```

* crystal system: orthorhombic
* VASP energy: -6.635 eV/atom


No. 4
Zr2SiAg: relaxed, PBE.

CIF file:
```
data_Zr2SiAg
_space_group_name_H-M_alt 'R -3 m'
_space_group_IT_number 166
_space_group_name_Hall '-R 3 2"'
_cell_length_a 3.0600
_cell_length_b 3.0600
_cell_length_c 28.9493
_cell_angle_alpha 90.00
_cell_angle_beta 90.00
_cell_angle_gamma 120.00
loop_
_atom_site_label
_atom_site_type_symbol
_atom_site_fract_x
_atom_site_fract_y
_atom_site_fract_z
Zr1 Zr 0.0000 0.0000 0.2451
Si1 Si 0.0000 0.0000 0.5000
Ag1 Ag 0.0000 0.0000 0.0000
```

* crystal system: trigonal
* VASP energy: -6.392 eV/atom


No. 5
Zr2SiAg: relaxed, PBE.

CIF file:
```
data_Zr2SiAg
_space_group_name_H-M_alt 'I -4 2 d'
_space_group_IT_number 122
_space_group_name_Hall 'I -4 2bw'
_cell_length_a 7.5651
_cell_length_b 7.5651
_cell_length_c 5.6950
_cell_angle_alpha 90.00
_cell_angle_beta 90.00
_cell_angle_gamma 90.00
loop_
_atom_site_label
_atom_site_type_symbol
_atom_site_fract_x
_atom_site_fract_y
_atom_site_fract_z
Zr1 Zr 0.2367 0.2500 0.1250
Si1 Si 0.0000 0.0000 0.0000
Ag1 Ag 0.0000 0.0000 0.5000
```

* crystal system: tetragonal
* VASP energy: -6.350 eV/atom


No. 6
Zr2SiAg: relaxed, PBE.

CIF file:
```
data_Zr2SiAg
_space_group_name_H-M_alt 'I m m 2'
_space_group_IT_number 44
_space_group_name_Hall 'I 2 -2'
_cell_length_a 3.6406
_cell_length_b 4.3866
_cell_length_c 9.6126
_cell_angle_alpha 90.00
_cell_angle_beta 90.00
_cell_angle_gamma 90.00
loop_
_atom_site_label
_atom_site_type_symbol
_atom_site_fract_x
_atom_site_fract_y
_atom_site_fract_z
Zr1 Zr 0.0000 0.0000 0.0000
Zr2 Zr 0.0000 0.5000 0.2334
Si1 Si 0.0000 0.0000 0.4780
Ag1 Ag 0.0000 0.5000 0.7691
```

* crystal system: orthorhombic
* VASP energy: -6.600 eV/atom


No. 7
ZrSiAg4: relaxed, PBE.

CIF file:
```
data_ZrSiAg4
_space_group_name_H-M_alt 'F -4 3 m'
_space_group_IT_number 216
_space_group_name_Hall 'F -4 2 3'
_cell_length_a 7.7125
_cell_length_b 7.7125
_cell_length_c 7.7125
_cell_angle_alpha 90.00
_cell_angle_beta 90.00
_cell_angle_gamma 90.00
loop_
_atom_site_label
_atom_site_type_symbol
_atom_site_fract_x
_atom_site_fract_y
_atom_site_fract_z
Zr1 Zr 0.0000 0.0000 0.0000
Si1 Si 0.2500 0.2500 0.2500
Ag1 Ag 0.1251 0.1251 0.6251
```

* crystal system: cubic
* VASP energy: -3.926 eV/atom


No. 8
Zr2SiAg: relaxed, PBE.

CIF file:
```
data_Zr2SiAg
_space_group_name_H-M_alt 'P 4/m m m'
_space_group_IT_number 123
_space_group_name_Hall '-P 4 2'
_cell_length_a 4.4568
_cell_length_b 4.4568
_cell_length_c 3.8499
_cell_angle_alpha 90.00
_cell_angle_beta 90.00
_cell_angle_gamma 90.00
loop_
_atom_site_label
_atom_site_type_symbol
_atom_site_fract_x
_atom_site_fract_y
_atom_site_fract_z
Zr1 Zr 0.0000 0.5000 0.0000
Si1 Si 0.0000 0.0000 0.5000
Ag1 Ag 0.5000 0.5000 0.5000
```

* crystal system: tetragonal
* VASP energy: -6.644 eV/atom


ΔE_f (raw) across the listed records, respectively: 0.73, 0.41, -0.29, -0.05, -0.01, -0.26, 0.30, -0.30 eV/atom.